(1)
Below is a relaxed structure of Ac3In3Hg8, with properties calculated at the PBE-GGA level.

```
Ac3In3Hg8
1.0
-1.171 -0.775 4.813
7.805 -3.282 3.983
4.414 6.731 4.770
In Hg Ac
3 8 3
Direct
0.000 0.809 0.191 In
0.000 0.191 0.809 In
0.500 0.000 0.000 In
0.155 0.479 0.211 Hg
0.845 0.789 0.521 Hg
0.646 0.072 0.636 Hg
0.354 0.364 0.928 Hg
0.155 0.211 0.479 Hg
0.845 0.521 0.789 Hg
0.646 0.636 0.072 Hg
0.354 0.928 0.364 Hg
0.202 0.798 0.798 Ac
0.500 0.500 0.500 Ac
0.798 0.202 0.202 Ac
```

***

(2)
AcInHg | the Alexandria database | PBE-GGA | optimized geometry; energy above the lowest structure with this stoichiometry = 11.9 meV/atom
1.0
-1.063 2.764 2.693
-2.267 -3.621 2.822
4.931 1.138 0.777
In Ac Hg
1 1 1
Direct
0.166 0.000 0.000 In
0.667 0.667 0.333 Ac
0.168 0.333 0.667 Hg

***

Number 1: calculated total energy -1.991 eV/atom, formation enthalpy at 0 K -33.9 kJ per mole of atoms, calculated density 11.3 g/cm³. Number 2: calculated total energy -2.853 eV/atom, formation enthalpy at 0 K -45.4 kJ per mole of atoms, calculated density 9.9 g/cm³.